Material: K4Cd3F10
Method: DFT, PBE-GGA
State: relaxed

Structure (POSCAR):
```
K4Cd3F10
1.0
-2.236 2.236 15.587
2.236 -2.236 15.587
2.236 2.236 -15.587
K Cd F
4 3 10
Direct
0.070 0.070 0.000 K
0.203 0.203 0.000 K
0.797 0.797 0.000 K
0.930 0.930 0.000 K
0.356 0.356 0.000 Cd
0.500 0.500 0.000 Cd
0.644 0.644 0.000 Cd
0.000 0.500 0.500 F
0.141 0.641 0.500 F
0.285 0.285 0.000 F
0.359 0.859 0.500 F
0.428 0.428 0.000 F
0.500 0.000 0.500 F
0.572 0.572 0.000 F
0.641 0.141 0.500 F
0.715 0.715 0.000 F
0.859 0.359 0.500 F
```

Total moment ... 0.0000 μB/atom
VASP energy ... -3.9954 eV/atom
Formation energy (no corrections) ... -2.475 eV/atom